Nb3AuO | PBE | relaxed

Cell lengths 4.9665, 4.9665, 4.9665 Å; angles 90.00, 90.00, 90.00 degrees
With the nearest neighbours (Å) after each atom.
Sites, in units of the cell vectors:
Nb  0.0000  0.5000  0.0000  2 Au 2.48
Nb  0.0000  0.0000  0.5000  2 Au 2.48
Nb  0.5000  0.0000  0.0000  2 Au 2.48
Au  0.0000  0.0000  0.0000  6 Nb 2.48
O  0.5000  0.5000  0.5000  12 Nb 3.51

Formation energy from raw total energies, eV/atom: 1.995



NbAu3O | PBE | relaxed

Cell lengths 4.4788, 4.4788, 4.4788 Å; angles 90.00, 90.00, 90.00 degrees
With the nearest neighbours (Å) after each atom.
Sites, in units of the cell vectors:
Nb  0.5000  0.5000  0.5000  12 Au 3.17
Au  0.0000  0.5000  0.0000  2 O 2.24
Au  0.0000  0.0000  0.5000  2 O 2.24
Au  0.5000  0.0000  0.0000  2 O 2.24
O  0.0000  0.0000  0.0000  6 Au 2.24

Offset from the most stable computed form, meV/atom: 0
Formation energy from raw total energies, eV/atom: 0.685



NbPAuO2 | PBE | relaxed

Cell lengths 3.9841, 3.9841, 4.9292 Å; angles 90.00, 90.00, 90.00 degrees
With the nearest neighbours (Å) after each atom.
Sites, in units of the cell vectors:
P  0.0000  0.0000  0.5000  2 Au 2.46
Nb  0.5000  0.5000  0.5000  4 P 2.82
Au  0.0000  0.0000  0.0000  4 O 1.99
O  0.0000  0.5000  0.0000  2 Au 1.99
O  0.5000  0.0000  0.0000  2 Au 1.99

Offset from the most stable computed form, meV/atom: 1638
Formation energy from raw total energies, eV/atom: 0.535



NbPAuO2 | PBE | relaxed

Cell lengths 3.8577, 3.8577, 5.5603 Å; angles 90.00, 90.00, 90.00 degrees
With the nearest neighbours (Å) after each atom.
Sites, in units of the cell vectors:
P  0.0000  0.0000  0.5000  4 Au 2.73, 2 Nb 2.78
Nb  0.0000  0.0000  0.0000  4 O 1.93
Au  0.5000  0.5000  0.5000  4 P 2.73
O  0.0000  0.5000  0.0000  2 Nb 1.93
O  0.5000  0.0000  0.0000  2 Nb 1.93

Offset from the most stable computed form, meV/atom: 0
Formation energy from raw total energies, eV/atom: -1.103



PaNbAuO6 | PBE | relaxed

Cell lengths 5.6701, 5.6701, 9.2602 Å; angles 90.00, 90.00, 120.00 degrees
With the nearest neighbours (Å) after each atom.
Sites, in units of the cell vectors:
Pa  0.3333  0.6667  0.2500  6 O 2.18
Pa  0.6667  0.3333  0.7500  6 O 2.18
Nb  0.6667  0.3333  0.2500  6 O 2.02
Nb  0.3333  0.6667  0.7500  6 O 2.02
Au  0.0000  0.0000  0.0000  6 O 2.40
Au  0.0000  0.0000  0.5000  6 O 2.40
O  0.6498  0.6289  0.1356  1 Nb 2.02, 1 Pa 2.18
O  0.9791  0.3502  0.1356  1 Nb 2.02, 1 Pa 2.18
O  0.3502  0.9791  0.6356  1 Nb 2.02, 1 Pa 2.18
O  0.0209  0.6498  0.8644  1 Nb 2.02, 1 Pa 2.18
O  0.3711  0.3502  0.3644  1 Nb 2.02, 1 Pa 2.18
O  0.9791  0.6289  0.3644  1 Nb 2.02, 1 Pa 2.18
O  0.6289  0.9791  0.8644  1 Nb 2.02, 1 Pa 2.18
O  0.6498  0.0209  0.3644  1 Nb 2.02, 1 Pa 2.18
O  0.0209  0.3711  0.6356  1 Nb 2.02, 1 Pa 2.18
O  0.3711  0.0209  0.1356  1 Nb 2.02, 1 Pa 2.18
O  0.6289  0.6498  0.6356  1 Nb 2.02, 1 Pa 2.18
O  0.3502  0.3711  0.8644  1 Nb 2.02, 1 Pa 2.18

Formation energy from raw total energies, eV/atom: -2.160



Nb2AuSO | PBE | relaxed

Cell lengths 4.0739, 5.1077, 4.0739 Å; angles 90.00, 90.00, 90.00 degrees
With the nearest neighbours (Å) after each atom.
Sites, in units of the cell vectors:
Nb  0.0000  0.0000  0.5000  2 O 2.04
Nb  0.5000  0.0000  0.0000  2 O 2.04
Au  0.5000  0.5000  0.5000  4 S 2.88
S  0.0000  0.5000  0.0000  2 O 2.55
O  0.0000  0.0000  0.0000  4 Nb 2.04

Formation energy from raw total energies, eV/atom: -0.156



Nb2SiAuO | PBE | relaxed

Cell lengths 4.1232, 4.7449, 4.1232 Å; angles 90.00, 90.00, 90.00 degrees
With the nearest neighbours (Å) after each atom.
Sites, in units of the cell vectors:
Nb  0.0000  0.0000  0.5000  2 O 2.06
Nb  0.5000  0.0000  0.0000  2 O 2.06
Au  0.0000  0.5000  0.0000  2 O 2.37
Si  0.5000  0.5000  0.5000  4 Au 2.92, 8 Nb 3.14
O  0.0000  0.0000  0.0000  4 Nb 2.06

Formation energy from raw total energies, eV/atom: -0.217



TaNb2AuO | PBE | relaxed

Cell lengths 4.9738, 4.9253, 4.9738 Å; angles 90.00, 90.00, 90.00 degrees
With the nearest neighbours (Å) after each atom.
Sites, in units of the cell vectors:
Nb  0.0000  0.0000  0.5000  2 Au 2.49
Nb  0.5000  0.0000  0.0000  2 Au 2.49
Au  0.0000  0.0000  0.0000  2 Ta 2.46, 4 Nb 2.49
O  0.5000  0.5000  0.5000  8 Nb 3.50, 4 Ta 3.52
Ta  0.0000  0.5000  0.0000  2 Au 2.46

Formation energy from raw total energies, eV/atom: 2.071



NbTeAuO6 | PBE | relaxed

Cell lengths 5.3950, 5.3950, 10.2106 Å; angles 90.00, 90.00, 120.00 degrees
With the nearest neighbours (Å) after each atom.
Sites, in units of the cell vectors:
Nb  0.3333  0.6667  0.2500  6 O 2.04
Nb  0.6667  0.3333  0.7500  6 O 2.04
Te  0.6667  0.3333  0.2500  6 O 1.98
Te  0.3333  0.6667  0.7500  6 O 1.98
Au  0.0000  0.0000  0.0000  6 O 2.52
Au  0.0000  0.0000  0.5000  6 O 2.52
O  0.6224  0.6140  0.1429  1 Te 1.98, 1 Nb 2.04
O  0.9917  0.3776  0.1429  1 Te 1.98, 1 Nb 2.04
O  0.3776  0.9917  0.6429  1 Te 1.98, 1 Nb 2.04
O  0.0083  0.6224  0.8571  1 Te 1.98, 1 Nb 2.04
O  0.3860  0.3776  0.3571  1 Te 1.98, 1 Nb 2.04
O  0.9917  0.6140  0.3571  1 Te 1.98, 1 Nb 2.04
O  0.6140  0.9917  0.8571  1 Te 1.98, 1 Nb 2.04
O  0.6224  0.0083  0.3571  1 Te 1.98, 1 Nb 2.04
O  0.0083  0.3860  0.6429  1 Te 1.98, 1 Nb 2.04
O  0.3860  0.0083  0.1429  1 Te 1.98, 1 Nb 2.04
O  0.6140  0.6224  0.6429  1 Te 1.98, 1 Nb 2.04
O  0.3776  0.3860  0.8571  1 Te 1.98, 1 Nb 2.04

Formation energy from raw total energies, eV/atom: -1.193



Zr2NbAuO | PBE | relaxed

Cell lengths 4.5290, 4.5290, 4.1672 Å; angles 90.00, 90.00, 90.00 degrees
With the nearest neighbours (Å) after each atom.
Sites, in units of the cell vectors:
Nb  0.0000  0.0000  0.5000  2 O 2.08
Au  0.5000  0.5000  0.5000  8 Zr 3.08, 4 Nb 3.20
O  0.0000  0.0000  0.0000  2 Nb 2.08, 4 Zr 2.26
Zr  0.0000  0.5000  0.0000  2 O 2.26
Zr  0.5000  0.0000  0.0000  2 O 2.26

Formation energy from raw total energies, eV/atom: -1.062



Nb2OsAu | PBE | relaxed

Cell lengths 2.8314, 2.8314, 10.4477 Å; angles 82.21, 82.21, 60.00 degrees
With the nearest neighbours (Å) after each atom.
Sites, in units of the cell vectors:
Os  0.5000  0.5000  0.5000  6 Nb 2.81, 6 Os 2.83
Nb  0.0930  0.0930  0.7210  3 Os 2.81, 6 Nb 2.83, 1 Au 2.88
Nb  0.9070  0.9070  0.2790  3 Os 2.81, 6 Nb 2.83, 1 Au 2.88
Au  0.0000  0.0000  0.0000  6 Au 2.83, 2 Nb 2.88

Energy relative to the elements, eV/atom: 0.2976



NbOsAu3 | PBE | relaxed

Cell lengths 4.9716, 4.9716, 4.9716 Å; angles 90.00, 90.00, 90.00 degrees
With the nearest neighbours (Å) after each atom.
Sites, in units of the cell vectors:
Os  0.0000  0.0000  0.0000  6 Au 2.49
Nb  0.5000  0.5000  0.5000  12 Au 3.52
Au  0.0000  0.5000  0.0000  2 Os 2.49
Au  0.0000  0.0000  0.5000  2 Os 2.49
Au  0.5000  0.0000  0.0000  2 Os 2.49

Offset from the most stable computed form, meV/atom: 0
Energy relative to the elements, eV/atom: 1.5662



Number 1: magnetization 0.0 μB per cell. Number 2: magnetization 3.1 μB per cell. Number 3: magnetization 1.5 μB per cell. Number 4: magnetization 0.0 μB per cell. Number 5: magnetization 1.3 μB per cell. Number 6: magnetization 0.0 μB per cell. Number 7: magnetization 0.0 μB per cell. Number 8: magnetization 0.0 μB per cell. Number 9: magnetization 0.0 μB per cell. Number 10: magnetization 0.0 μB per cell. Number 11: magnetization 0.0 μB per cell. Number 12: magnetization 1.9 μB per cell.